# Nb2BiIrN, relaxed, DFT PBE
data_Nb2BiIrN
_space_group_name_H-M_alt 'P 4/m m m'
_space_group_IT_number 123
_space_group_name_Hall '-P 4 2'
_cell_length_a 4.159
_cell_length_b 4.159
_cell_length_c 5.011
_cell_angle_alpha 90.00
_cell_angle_beta 90.00
_cell_angle_gamma 90.00
loop_
_atom_site_label
_atom_site_type_symbol
_atom_site_fract_x
_atom_site_fract_y
_atom_site_fract_z
Nb1 Nb 0.000 0.500 0.000
Bi1 Bi 0.000 0.000 0.500
Ir1 Ir 0.500 0.500 0.500
N1 N 0.000 0.000 0.000
# M_tot, μB per formula unit: 0.00
# Formation energy (no corrections), kJ/mol of atoms: 8
# Volume, A^3/atom: 17.3
# D(E_F), states/eV/f.u.: 3.97
# Raw total energy, eV/atom: -8.16